# CaC4

A relaxed CaC4 crystal (PBE-GGA, Alexandria).

CIF file:
```
data_CaC4
_space_group_name_H-M_alt 'P 4/m m m'
_space_group_IT_number 123
_space_group_name_Hall '-P 4 2'
_cell_length_a 3.526
_cell_length_b 3.526
_cell_length_c 4.164
_cell_angle_alpha 90.00
_cell_angle_beta 90.00
_cell_angle_gamma 90.00
loop_
_atom_site_label
_atom_site_type_symbol
_atom_site_fract_x
_atom_site_fract_y
_atom_site_fract_z
Ca1 Ca 0.000 0.000 0.000
C1 C 0.202 0.500 0.500
```

## Properties
Density   2.8 g/cm³
Magnetization   0.0 μB per formula unit
VASP energy   -37.308 eV for the cell shown